Entry 1:
Computed, not measured: a relaxed HgMo2N crystal at the GGA-PBE level of DFT.

Summary:
formation energy from raw total energies: 1417 meV/atom
total DFT energy (no corrections): -24.62 eV per cell
energy relative to the lowest polymorph listed for this composition: 782.7 meV/atom
D(E_F): 4.86 states/eV per cell
crystal system: cubic
calculated volume: 14.73 A^3/atom

POSCAR file:
```
HgMo2N
1.0
0.000 3.089 3.089
3.089 0.000 3.089
3.089 3.089 0.000
Hg Mo N
1 2 1
Cartesian
0.000 0.000 0.000 Hg
1.544 1.544 1.544 Mo
4.633 4.633 4.633 Mo
3.089 3.089 3.089 N
```


Entry 2:
Computed, not measured: a relaxed Hg2MoN crystal at the GGA-PBE level of DFT.

Summary:
formation energy from raw total energies: 781 meV/atom
total DFT energy (no corrections): -33.28 eV per cell
D(E_F): 4.18 states/eV per cell
crystal system: tetragonal
calculated volume: 21.34 A^3/atom

POSCAR file:
```
Hg2MoN
1.0
-4.688 4.688 1.942
4.688 -4.688 1.942
4.688 4.688 -1.942
Hg Mo N
4 2 2
Cartesian
7.033 1.220 -0.486 Hg
1.220 2.344 0.486 Hg
-2.344 3.468 1.457 Hg
3.468 2.344 2.428 Hg
4.688 0.000 0.971 Mo
0.000 0.000 1.942 Mo
0.000 0.000 0.000 N
0.000 4.688 0.971 N
```


Number 1 is which compound?
HgMo2N


Number 2 is which compound?
Hg2MoN


Number 2 is which compound?
Hg2MoN